A plane-wave DFT calculation with PBE was carried out for a relaxed PrGdTh crystal.

The structure in CIF format:
```
data_PrGdTh
_cell_length_a 3.615
_cell_length_b 3.615
_cell_length_c 8.890
_cell_angle_alpha 90.00
_cell_angle_beta 90.00
_cell_angle_gamma 120.00
_space_group_name_H-M_alt 'P 1'
_space_group_IT_number 1
_space_group_name_Hall 'P 1'
loop_
_atom_site_label
_atom_site_fract_x
_atom_site_fract_y
_atom_site_fract_z
_atom_site_occupancy
Th1 0.333 0.667 0.662 1
Pr1 0.000 0.000 0.990 1
Gd1 0.667 0.333 0.347 1
```

Its uncorrected energy is -8.7320 eV/atom. For the spin magnetization, the calculation gives 7.47 μB per formula unit. The calculation puts the formation energy at 28.1 meV/atom.